No. 1
Below is crystalline LaSc at its relaxed geometry, with properties calculated at the PBE-GGA level.

As for the total DFT energy (no corrections): -5.575 eV per atom.

It has space group P4/mmm (No. 123), with a = 3.6955 Å, b = 3.6955 Å, c = 4.4432 Å, α = 90.00°, β = 90.00° and γ = 90.00°. The inequivalent atoms are La at (0.0000, 0.0000, 0.0000) and Sc at (0.5000, 0.5000, 0.5000).



No. 2
Below is crystalline LaSc at its relaxed geometry, with properties calculated at the PBE-GGA level.

As for the total DFT energy (no corrections): -5.435 eV per atom.

It has space group P6_3/m (No. 176), with a = 11.2068 Å, b = 11.2068 Å, c = 3.4690 Å, α = 90.00°, β = 90.00° and γ = 120.00°. The inequivalent atoms are La at (0.0994, 0.3057, 0.2500) and Sc at (0.1395, 0.5902, 0.7500).



No. 3
Below is crystalline LaSc at its relaxed geometry, with properties calculated at the PBE-GGA level.

As for the total DFT energy (no corrections): -3.850 eV per atom.

It has space group Pm-3n (No. 223), with a = 8.5137 Å, b = 8.5137 Å, c = 8.5137 Å, α = 90.00°, β = 90.00° and γ = 90.00°. The inequivalent atoms are La at (0.0000, 0.2500, 0.5000) and Sc at (0.0000, 0.5000, 0.2500).



No. 4
Below is crystalline LaSc3 at its relaxed geometry, with properties calculated at the PBE-GGA level.

As for the total DFT energy (no corrections): -5.891 eV per atom.

It has space group Pm-3m (No. 221), with a = 4.7906 Å, b = 4.7906 Å, c = 4.7906 Å, α = 90.00°, β = 90.00° and γ = 90.00°. The inequivalent atoms are La at (0.0000, 0.0000, 0.0000) and Sc at (0.0000, 0.5000, 0.5000).



- The lowest total DFT energy (no corrections) belongs to which entry?
  LaSc3



- Which of these has the lowest total DFT energy (no corrections)?
  LaSc3